(P)
This record from Alexandria via LeMat-Bulk describes a geometry-optimized Tb6YEr2 structure. The functional is GGA-PBE.

Lattice parameters (Å, degrees): 9.8293 9.8293 6.2796 101.35 101.35 91.72
Atoms (fractional coordinates):
Tb 0.0691 0.8233 0.9856
Tb 0.0791 0.5071 0.2724
Tb 0.1767 0.9309 0.5144
Tb 0.3494 0.4368 0.0396
Tb 0.4368 0.3494 0.5396
Tb 0.4929 0.9209 0.2276
Tb 0.5071 0.0791 0.7724
Tb 0.5632 0.6506 0.4604
Tb 0.6506 0.5632 0.9604
Tb 0.8233 0.0691 0.4856
Tb 0.9209 0.4929 0.7276
Tb 0.9309 0.1767 0.0144
Y 0.3212 0.6788 0.7500
Y 0.6788 0.3212 0.2500
Er 0.1296 0.2572 0.5870
Er 0.2572 0.1296 0.0870
Er 0.7428 0.8704 0.9130
Er 0.8704 0.7428 0.4130

Calculated values
crystal system: monoclinic

***

(Q)
This record from Alexandria via LeMat-Bulk describes a geometry-optimized Tb6YEr2 structure. The functional is GGA-PBE.

Lattice parameters (Å, degrees): 3.5507 8.6888 9.3885 89.95 79.20 89.86
Atoms (fractional coordinates):
Tb 0.1115 0.3336 0.2788
Tb 0.2211 0.6662 0.0568
Tb 0.3329 0.0002 0.8335
Tb 0.6671 0.9998 0.1665
Tb 0.7789 0.3338 0.9432
Tb 0.8885 0.6664 0.7212
Y 0.0000 0.0000 0.5000
Er 0.4448 0.3346 0.6108
Er 0.5552 0.6654 0.3892

Calculated values
crystal system: triclinic

***

The calculated energies rank the structures as follows, beginning with the most stable: (Q), (P).

***

(P)
This record from Alexandria via LeMat-Bulk describes a geometry-optimized Tb7YEr12 structure. The functional is GGA-PBE.

Lattice parameters (Å, degrees): 8.6279 8.6279 8.6279 95.07 95.07 95.07
Atoms (fractional coordinates):
Tb 0.0000 0.0000 0.0000
Tb 0.1451 0.4782 0.4142
Tb 0.4142 0.1451 0.4782
Tb 0.4782 0.4142 0.1451
Tb 0.5218 0.5858 0.8549
Tb 0.5858 0.8549 0.5218
Tb 0.8549 0.5218 0.5858
Y 0.5000 0.5000 0.5000
Er 0.0175 0.3512 0.0818
Er 0.0818 0.0175 0.3512
Er 0.1864 0.3151 0.7505
Er 0.2495 0.8136 0.6849
Er 0.3151 0.7505 0.1864
Er 0.3512 0.0818 0.0175
Er 0.6488 0.9182 0.9825
Er 0.6849 0.2495 0.8136
Er 0.7505 0.1864 0.3151
Er 0.8136 0.6849 0.2495
Er 0.9182 0.9825 0.6488
Er 0.9825 0.6488 0.9182

Calculated values
crystal system: trigonal

***

(Q)
This record from Alexandria via LeMat-Bulk describes a geometry-optimized Tb7YEr12 structure. The functional is GGA-PBE.

Lattice parameters (Å, degrees): 9.6703 9.6703 9.6703 109.47 109.47 109.47
Atoms (fractional coordinates):
Tb 0.0000 0.0000 0.5000
Tb 0.0000 0.5000 0.0000
Tb 0.0000 0.5000 0.5000
Tb 0.5000 0.0000 0.0000
Tb 0.5000 0.0000 0.5000
Tb 0.5000 0.5000 0.0000
Tb 0.5000 0.5000 0.5000
Y 0.0000 0.0000 0.0000
Er 0.0000 0.2503 0.7497
Er 0.0000 0.7497 0.2503
Er 0.2503 0.0000 0.7497
Er 0.2503 0.2503 0.5006
Er 0.2503 0.5006 0.2503
Er 0.2503 0.7497 0.0000
Er 0.4994 0.7497 0.7497
Er 0.5006 0.2503 0.2503
Er 0.7497 0.0000 0.2503
Er 0.7497 0.2503 0.0000
Er 0.7497 0.4994 0.7497
Er 0.7497 0.7497 0.4994

Calculated values
crystal system: cubic

***

The calculated energies rank the structures as follows, beginning with the most stable: (P), (Q).